(1)
The following is a DFT calculation (PBE) of a relaxed structure of CaAsOs2.

## Properties
* ΔH_f (0 K): 540.1 meV per atom
* space group: P4/mmm, No. 123
* calculated volume: 17.127 Å³ per atom

Cell: 3.8832 3.8832 4.5433 Å, 90.00 90.00 90.00°
Closest atoms and distances in Å follow each position.
Sites, in units of the cell vectors:
1 Ca 0.0000 0.0000 0.0000  4 As 2.75, 8 Os 2.99
2 As 0.5000 0.5000 0.0000  4 Ca 2.75, 8 Os 2.99
3 Os 0.0000 0.5000 0.5000  4 Os 2.75, 4 As 2.99, 4 Ca 2.99
4 Os 0.5000 0.0000 0.5000  4 Os 2.75, 4 As 2.99, 4 Ca 2.99

(2)
The following is a DFT calculation (PBE) of a relaxed structure of CaAs2Os.

## Properties
* excess energy over the best structure of this formula in the dataset: 259 meV per atom
* ΔH_f (0 K): -141.7 meV per atom
* space group: Immm, No. 71
* calculated volume: 20.589 Å³ per atom

Cell: 5.6691 5.6691 5.6691 Å, 147.67 121.03 68.87°
Closest atoms and distances in Å follow each position.
Sites, in units of the cell vectors:
1 Ca 0.0000 0.0000 0.0000  2 Ca 3.16, 8 As 3.20-3.37, 4 Os 3.21
2 As 0.2975 0.7975 0.5000  2 Os 2.47
3 As 0.7025 0.2025 0.5000  2 Os 2.47
4 Os 0.5000 0.5000 0.0000  4 As 2.47

(3)
The following is a DFT calculation (PBE) of a relaxed structure of CaAs2Os.

## Properties
* excess energy over the best structure of this formula in the dataset: 617 meV per atom
* ΔH_f (0 K): 216.3 meV per atom
* space group: R3m, No. 160
* calculated volume: 20.050 Å³ per atom

Cell: 8.7921 8.7921 8.7921 Å, 21.53 21.53 21.53°
Closest atoms and distances in Å follow each position.
Sites, in units of the cell vectors:
1 Ca 0.0000 0.0000 0.0000  3 Os 3.03, 3 As 3.06, 6 Ca 3.28
2 As 0.2402 0.2402 0.2402  9 As 2.95-3.28, 3 Ca 3.06
3 As 0.4858 0.4858 0.4858  3 Os 2.46
4 Os 0.7584 0.7584 0.7584  3 As 2.46